The following is a DFT calculation (PBE) of a relaxed structure of Ho3Er4Bi4.

Unit cell a=4.075 b=9.276 c=10.123 alpha=117.27 beta=101.61 gamma=90.00
Site moments in Bohr magnetons follow the coordinates.
Fractional coordinates of all 11 atoms:
Ho: 0.103 0.103 0.206  0.17
Ho: 0.897 0.897 0.794  0.17
Ho: 0.000 0.500 0.000  0.00
Er: 0.334 0.148 0.668  0.25
Er: 0.666 0.481 0.332  0.25
Er: 0.666 0.852 0.332  0.25
Er: 0.334 0.519 0.668  0.25
Bi: 0.261 0.761 0.523  0.00
Bi: 0.739 0.239 0.477  0.00
Bi: 0.500 0.796 0.000  0.00
Bi: 0.500 0.204 0.000  0.00

Computed properties:
E_form: -0.496 eV/atom
ρ: 10.0 g/cm³
calculated total energy: -52.96 eV for the cell shown



The following is a DFT calculation (PBE) of a relaxed structure of K2LaZrSe4.

Unit cell a=4.156 b=7.295 c=8.093 alpha=106.98 beta=90.00 gamma=90.00
Fractional coordinates of all 8 atoms:
K: 0.500 0.000 0.500
K: 0.000 0.500 0.500
La: 0.000 0.000 0.000
Zr: 0.500 0.500 0.000
Se: 0.500 0.260 0.212
Se: 0.500 0.740 0.788
Se: 0.000 0.286 0.797
Se: 0.000 0.714 0.203

Computed properties:
uncorrected formation energy: -1535 meV per atom
ρ: 4.4 g/cm³
calculated total energy: -41.89 eV for the cell shown



The following is a DFT calculation (PBE) of a relaxed structure of InGeCl3.

Unit cell a=6.038 b=5.833 c=10.611 alpha=79.25 beta=89.81 gamma=103.69
Fractional coordinates of all 10 atoms:
Ge: 0.172 0.581 0.327
Ge: 0.532 0.979 0.816
In: 0.680 0.282 0.126
In: 0.878 0.754 0.591
Cl: 0.916 0.159 0.744
Cl: 0.041 0.164 0.332
Cl: 0.567 0.603 0.299
Cl: 0.416 0.943 0.606
Cl: 0.108 0.683 0.108
Cl: 0.592 0.584 0.863

Computed properties:
uncorrected formation energy: -792 meV per atom
ρ: 2.7 g/cm³
calculated total energy: -33.71 eV for the cell shown